Below is a geometry-optimized Y2PSe structure, with properties calculated at the PBE level.

Cell and atoms, written as POSCAR:
```
Y2PSe
1.0
-6.3513 -3.7468 0.0787
-6.4989 0.3019 3.4722
5.4788 3.2808 -3.6882
Y P Se
2 1 1
Cartesian
-0.4708 -0.1262 0.1301
-4.4109 0.7456 0.9700
-5.8498 -1.5682 1.6165
-3.0650 -0.9377 -1.0783
```

Summary:
- symmetry = Imm2, No. 44
- volume (Å³ per cell) = 96.1
- formation energy (no corrections) (eV per atom) = -1.5150
- distance to the lowest polymorph of the same formula (eV per atom) = 0.281

***

Below is a geometry-optimized NaTm2Ga structure, with properties calculated at the PBE level.

Cell and atoms, written as POSCAR:
```
NaTm2Ga
1.0
-0.5102 -3.3004 0.9498
3.3223 -0.2311 0.9816
-2.2797 2.7599 8.3659
Ga Na Tm
1 1 2
Cartesian
1.4061 -1.7657 0.9657
0.2662 -0.3857 5.1486
-0.4412 0.5342 1.6192
-1.8384 2.2258 6.7467
```

Summary:
- ΔE_f (eV per formula unit) = -0.56
- symmetry = P4/mmm, No. 123
- volume (Å³ per cell) = 109.7
- distance to the lowest polymorph of the same formula (eV per atom) = 0.000

***

Below is a geometry-optimized TaBSb2I structure, with properties calculated at the PBE level.

Cell and atoms, written as POSCAR:
```
TaBSb2I
1.0
5.3438 0.0000 0.0000
0.0000 5.3438 0.0000
0.0000 0.0000 5.6867
Ta Sb I B
1 2 1 1
Cartesian
0.0000 0.0000 0.0000
0.0000 2.6719 0.0000
2.6719 0.0000 0.0000
0.0000 0.0000 2.8434
2.6719 2.6719 2.8434
```

Summary:
- symmetry = P4/mmm, No. 123
- volume (Å³ per cell) = 162.4
- formation energy (no corrections) (eV per atom) = 1.3650
- distance to the lowest polymorph of the same formula (eV per atom) = 0.104

***

Below is a geometry-optimized Pa2ZnPt structure, with properties calculated at the PBE level.

Cell and atoms, written as POSCAR:
```
Pa2ZnPt
1.0
-0.0537 -4.2283 0.7630
4.3439 0.0312 0.4790
-0.4769 0.7774 4.2741
Pt Pa Zn
1 2 1
Cartesian
-0.0269 -2.1141 0.3815
-0.2385 0.3887 2.1371
2.1720 0.0156 0.2395
1.9066 -1.7098 2.7581
```

Summary:
- ΔE_f (eV per formula unit) = -1.74
- symmetry = P4/mmm, No. 123
- volume (Å³ per cell) = 82.1
- distance to the lowest polymorph of the same formula (eV per atom) = 0.000

***

Below is a geometry-optimized BaPaSnO6 structure, with properties calculated at the PBE level.

Cell and atoms, written as POSCAR:
```
BaPaSnO6
1.0
5.7126 0.0000 0.0000
-2.8563 4.9473 0.0000
0.0000 0.0000 11.5435
O Ba Sn Pa
12 2 2 2
Cartesian
0.7150 4.9028 9.8156
1.8241 3.0706 1.7279
1.0322 1.8766 9.8156
-1.7472 3.1150 9.8156
3.5713 0.0444 4.0438
3.8885 3.0706 4.0438
1.7472 3.1150 7.4997
4.6035 1.8322 1.7279
-0.7150 4.9028 7.4997
1.1091 1.8322 4.0438
-1.0322 1.8766 7.4997
2.1413 0.0444 1.7279
0.0000 0.0000 5.7718
0.0000 0.0000 0.0000
0.0000 3.2982 8.6576
2.8563 1.6491 2.8859
0.0000 3.2982 2.8859
2.8563 1.6491 8.6576
```

Summary:
- symmetry = P-31c, No. 163
- volume (Å³ per cell) = 326.2
- formation energy (no corrections) (eV per atom) = -2.4670

***

Below is a geometry-optimized LiZr2FePt structure, with properties calculated at the PBE level.

Cell and atoms, written as POSCAR:
```
LiZr2FePt
1.0
4.7314 0.0000 0.0000
0.0000 3.8075 0.0000
0.0000 0.0000 4.7314
Fe Li Zr Pt
1 1 2 1
Cartesian
0.0000 1.9037 0.0000
0.0000 0.0000 0.0000
2.3657 0.0000 0.0000
0.0000 0.0000 2.3657
2.3657 1.9037 2.3657
```

Summary:
- ΔE_f (eV per formula unit) = 2.36
- symmetry = P4/mmm, No. 123
- volume (Å³ per cell) = 85.2
- distance to the lowest polymorph of the same formula (eV per atom) = 0.000

***

For reference, magnetization by record: 0.00; 0.00; 0.14; 0.00; 2.17; 1.03 Bohr magnetons per cell.
For reference, ρ by record: 4970; 6518; 5749; 14620; 5936; 8578 kg/m3.
For reference, VASP energy by record: -27.88; -13.85; -21.50; -28.05; -134.75; -31.16 eV for the cell shown.